# Tc2TePb PBE-GGA relaxed
data_Tc2TePb
_chemical_formula_sum 'Tc2 Te1 Pb1'
_cell_length_a 3.0689
_cell_length_b 3.6726
_cell_length_c 7.9741
_cell_angle_alpha 90.00
_cell_angle_beta 90.00
_cell_angle_gamma 90.00
_space_group_name_H-M_alt 'P m m 2'
_space_group_IT_number 25
loop_
_space_group_symop_operation_xyz
'x,y,z'
'-x,-y,z'
'-x,y,z'
'x,-y,z'
loop_
_atom_site_label
_atom_site_type_symbol
_atom_site_fract_x
_atom_site_fract_y
_atom_site_fract_z
_atom_site_occupancy
Tc1 Tc 0.0000 0.0000 0.0000 1
Tc2 Tc 0.5000 0.5000 0.1440 1
Te1 Te 0.0000 0.0000 0.3444 1
Pb1 Pb 0.5000 0.5000 0.7547 1
# ΔE to the lowest computed polymorph, meV per atom: 0.0

# Tc4TePb PBE-GGA relaxed
data_Tc4TePb
_chemical_formula_sum 'Tc16 Te4 Pb4'
_cell_length_a 7.5610
_cell_length_b 7.5610
_cell_length_c 7.5610
_cell_angle_alpha 90.00
_cell_angle_beta 90.00
_cell_angle_gamma 90.00
_space_group_name_H-M_alt 'F -4 3 m'
_space_group_IT_number 216
_space_group_name_Hall 'F -4 2 3'
loop_
_atom_site_label
_atom_site_type_symbol
_atom_site_fract_x
_atom_site_fract_y
_atom_site_fract_z
_atom_site_occupancy
Tc1 Tc 0.1242 0.1242 0.1242 1
Te1 Te 0.2500 0.2500 0.7500 1
Pb1 Pb 0.0000 0.0000 0.5000 1
# Energy, eV/atom: -7.402

# TcTe2Pb PBE-GGA relaxed
data_TcTe2Pb
_chemical_formula_sum 'Tc3 Te6 Pb3'
_cell_length_a 3.2596
_cell_length_b 3.2596
_cell_length_c 34.1285
_cell_angle_alpha 90.00
_cell_angle_beta 90.00
_cell_angle_gamma 120.00
_space_group_name_H-M_alt 'R -3 m'
_space_group_IT_number 166
_space_group_name_Hall '-R 3 2"'
loop_
_atom_site_label
_atom_site_type_symbol
_atom_site_fract_x
_atom_site_fract_y
_atom_site_fract_z
_atom_site_occupancy
Tc1 Tc 0.0000 0.0000 0.0000 1
Te1 Te 0.0000 0.0000 0.0752 1
Pb1 Pb 0.0000 0.0000 0.5000 1
# Energy, eV/atom: -4.442

# TcTePb PBE-GGA relaxed
data_TcTePb
_chemical_formula_sum 'Tc1 Te1 Pb1'
_cell_length_a 4.6852
_cell_length_b 4.6852
_cell_length_c 3.6956
_cell_angle_alpha 90.00
_cell_angle_beta 90.00
_cell_angle_gamma 120.00
_space_group_name_H-M_alt 'P -6 m 2'
_space_group_IT_number 187
_space_group_name_Hall 'P -6 2'
loop_
_atom_site_label
_atom_site_type_symbol
_atom_site_fract_x
_atom_site_fract_y
_atom_site_fract_z
_atom_site_occupancy
Tc1 Tc 0.0000 0.0000 0.0000 1
Te1 Te 0.6667 0.3333 0.0000 1
Pb1 Pb 0.3333 0.6667 0.5000 1
# ΔE to the lowest computed polymorph, meV per atom: 382.6

# TcTe2Pb PBE-GGA relaxed
data_TcTe2Pb
_chemical_formula_sum 'Tc3 Te6 Pb3'
_cell_length_a 3.5802
_cell_length_b 3.5802
_cell_length_c 28.8305
_cell_angle_alpha 90.00
_cell_angle_beta 90.00
_cell_angle_gamma 120.00
_space_group_name_H-M_alt 'R -3 m'
_space_group_IT_number 166
_space_group_name_Hall '-R 3 2"'
loop_
_atom_site_label
_atom_site_type_symbol
_atom_site_fract_x
_atom_site_fract_y
_atom_site_fract_z
_atom_site_occupancy
Tc1 Tc 0.0000 0.0000 0.0000 1
Te1 Te 0.0000 0.0000 0.2721 1
Pb1 Pb 0.0000 0.0000 0.5000 1
# Energy, eV/atom: -5.052

# Tc2TePb PBE-GGA relaxed
data_Tc2TePb
_chemical_formula_sum 'Tc4 Te2 Pb2'
_cell_length_a 4.2971
_cell_length_b 4.2971
_cell_length_c 8.4120
_cell_angle_alpha 90.00
_cell_angle_beta 90.00
_cell_angle_gamma 90.00
_space_group_name_H-M_alt 'I -4 m 2'
_space_group_IT_number 119
_space_group_name_Hall 'I -4 -2'
loop_
_atom_site_label
_atom_site_type_symbol
_atom_site_fract_x
_atom_site_fract_y
_atom_site_fract_z
_atom_site_occupancy
Tc1 Tc 0.0000 0.0000 0.0000 1
Tc2 Tc 0.0000 0.5000 0.2500 1
Te1 Te 0.0000 0.5000 0.7500 1
Pb1 Pb 0.0000 0.0000 0.5000 1
# ΔE to the lowest computed polymorph, meV per atom: 544.6

# Tc2TePb PBE-GGA relaxed
data_Tc2TePb
_chemical_formula_sum 'Tc2 Te1 Pb1'
_cell_length_a 4.6972
_cell_length_b 4.6972
_cell_length_c 3.3293
_cell_angle_alpha 90.00
_cell_angle_beta 90.00
_cell_angle_gamma 90.00
_space_group_name_H-M_alt 'P 4/m m m'
_space_group_IT_number 123
_space_group_name_Hall '-P 4 2'
loop_
_atom_site_label
_atom_site_type_symbol
_atom_site_fract_x
_atom_site_fract_y
_atom_site_fract_z
_atom_site_occupancy
Tc1 Tc 0.0000 0.5000 0.0000 1
Te1 Te 0.0000 0.0000 0.5000 1
Pb1 Pb 0.5000 0.5000 0.5000 1
# ΔE to the lowest computed polymorph, meV per atom: 236.1

# Tc2TePb PBE-GGA relaxed
data_Tc2TePb
_chemical_formula_sum 'Tc8 Te4 Pb4'
_cell_length_a 6.8038
_cell_length_b 6.8038
_cell_length_c 6.8038
_cell_angle_alpha 90.00
_cell_angle_beta 90.00
_cell_angle_gamma 90.00
_space_group_name_H-M_alt 'F -4 3 m'
_space_group_IT_number 216
_space_group_name_Hall 'F -4 2 3'
loop_
_atom_site_label
_atom_site_type_symbol
_atom_site_fract_x
_atom_site_fract_y
_atom_site_fract_z
_atom_site_occupancy
Tc1 Tc 0.0000 0.0000 0.0000 1
Tc2 Tc 0.2500 0.2500 0.2500 1
Te1 Te 0.2500 0.2500 0.7500 1
Pb1 Pb 0.0000 0.0000 0.5000 1
# ΔE to the lowest computed polymorph, meV per atom: 658.3

# Tc2TePb PBE-GGA relaxed
data_Tc2TePb
_chemical_formula_sum 'Tc4 Te2 Pb2'
_cell_length_a 3.3309
_cell_length_b 3.9768
_cell_length_c 12.0708
_cell_angle_alpha 90.00
_cell_angle_beta 90.00
_cell_angle_gamma 90.00
_space_group_name_H-M_alt 'I m m 2'
_space_group_IT_number 44
loop_
_space_group_symop_operation_xyz
'x,y,z'
'-x,-y,z'
'-x,y,z'
'x,-y,z'
'x+1/2,y+1/2,z+1/2'
'-x+1/2,-y+1/2,z+1/2'
'-x+1/2,y+1/2,z+1/2'
'x+1/2,-y+1/2,z+1/2'
loop_
_atom_site_label
_atom_site_type_symbol
_atom_site_fract_x
_atom_site_fract_y
_atom_site_fract_z
_atom_site_occupancy
Tc1 Tc 0.0000 0.0000 0.0000 1
Tc2 Tc 0.0000 0.5000 0.2445 1
Te1 Te 0.0000 0.0000 0.5752 1
Pb1 Pb 0.0000 0.5000 0.8290 1
# ΔE to the lowest computed polymorph, meV per atom: 267.8

# TcTe2Pb PBE-GGA relaxed
data_TcTe2Pb
_chemical_formula_sum 'Tc1 Te2 Pb1'
_cell_length_a 3.2797
_cell_length_b 3.2797
_cell_length_c 9.6409
_cell_angle_alpha 90.00
_cell_angle_beta 90.00
_cell_angle_gamma 90.00
_space_group_name_H-M_alt 'P 4 m m'
_space_group_IT_number 99
loop_
_space_group_symop_operation_xyz
'x,y,z'
'-y,x,z'
'-x,-y,z'
'y,-x,z'
'-x,y,z'
'y,x,z'
'x,-y,z'
'-y,-x,z'
loop_
_atom_site_label
_atom_site_type_symbol
_atom_site_fract_x
_atom_site_fract_y
_atom_site_fract_z
_atom_site_occupancy
Tc1 Tc 0.0000 0.0000 0.0000 1
Te1 Te 0.0000 0.0000 0.4889 1
Te2 Te 0.5000 0.5000 0.1451 1
Pb1 Pb 0.5000 0.5000 0.7854 1
# Energy, eV/atom: -4.983

# Tc2TePb PBE-GGA relaxed
data_Tc2TePb
_chemical_formula_sum 'Tc6 Te3 Pb3'
_cell_length_a 3.2414
_cell_length_b 3.2414
_cell_length_c 25.2249
_cell_angle_alpha 90.00
_cell_angle_beta 90.00
_cell_angle_gamma 120.00
_space_group_name_H-M_alt 'R -3 m'
_space_group_IT_number 166
_space_group_name_Hall '-R 3 2"'
loop_
_atom_site_label
_atom_site_type_symbol
_atom_site_fract_x
_atom_site_fract_y
_atom_site_fract_z
_atom_site_occupancy
Tc1 Tc 0.0000 0.0000 0.2444 1
Te1 Te 0.0000 0.0000 0.5000 1
Pb1 Pb 0.0000 0.0000 0.0000 1
# ΔE to the lowest computed polymorph, meV per atom: 285.1

# TcTePb PBE-GGA relaxed
data_TcTePb
_chemical_formula_sum 'Tc4 Te4 Pb4'
_cell_length_a 6.6311
_cell_length_b 6.6311
_cell_length_c 6.6311
_cell_angle_alpha 90.00
_cell_angle_beta 90.00
_cell_angle_gamma 90.00
_space_group_name_H-M_alt 'F -4 3 m'
_space_group_IT_number 216
_space_group_name_Hall 'F -4 2 3'
loop_
_atom_site_label
_atom_site_type_symbol
_atom_site_fract_x
_atom_site_fract_y
_atom_site_fract_z
_atom_site_occupancy
Tc1 Tc 0.0000 0.0000 0.0000 1
Te1 Te 0.2500 0.2500 0.2500 1
Pb1 Pb 0.2500 0.2500 0.7500 1
# ΔE to the lowest computed polymorph, meV per atom: 299.9